Material: K2AgHg2
Method: DFT, GGA-PBE
State: relaxed

Results
space group: P4/mbm (127)
offset from the most stable computed form: 3.11 kJ/mol of atoms
calculated formation energy: -0.14 eV/atom

POSCAR file:
```
K2AgHg2
1.0
7.883 0.000 0.000
0.000 7.883 0.000
0.000 0.000 5.328
K Hg Ag
4 4 2
Cartesian
2.552 1.390 2.664
1.390 5.331 2.664
5.331 6.493 2.664
6.493 2.552 2.664
1.081 2.861 0.000
5.022 1.081 0.000
6.802 5.022 0.000
2.861 6.802 0.000
0.000 0.000 0.000
3.941 3.941 0.000
```